! SCAN ScSbAs2, single point on PBEsol structure; values from VASP
&SYSTEM
  ibrav = 0, nat = 4, ntyp = 3
/
ATOMIC_SPECIES
Sc 44.96 Sc.upf
Sb 121.76 Sb.upf
As 74.92 As.upf
ATOMIC_POSITIONS crystal
Sc 0.000 0.000 0.000
Sb 0.250 0.750 0.500
As 0.500 0.500 0.000
As 0.750 0.250 0.500
CELL_PARAMETERS angstrom
-2.007 2.007 5.085
2.007 -2.007 5.085
2.007 2.007 -5.085
! D(E_F), states/eV/cell: 2.100
! Magnetization, μB/cell: 0.00
! E_tot, eV per atom: -23.3604